(1)
Crystalline AlAg2Os at its relaxed geometry, computed with PBE-GGA.

Summary:
E_tot = -4.8669 eV per atom
total magnetization = 0.0 μB/cell
formation enthalpy at 0 K = 301.8 meV per atom
SG = No. 10

abc: 4.963 2.783 4.705
angles: 87.59 90.00 90.00
Fractional positions:
Ag (0.000, 0.487, 0.500)
Ag (0.000, 0.013, 0.000)
Al (0.500, 0.250, 0.250)
Os (0.500, 0.750, 0.750)

***

(2)
Crystalline Ga2Ag5Hg2 at its relaxed geometry, computed with PBE-GGA.

Summary:
E_tot = -2.2233 eV per atom
total magnetization = 0.0 μB/cell
energy above the most stable polymorph in this dataset = 1.7 kJ per mole of atoms
formation enthalpy at 0 K = 100.4 meV per atom
SG = No. 12

abc: 4.061 10.168 5.205
angles: 69.10 67.04 78.48
Fractional positions:
Ga (0.934, 0.734, 0.398)
Ga (0.066, 0.266, 0.602)
Ag (0.316, 0.907, 0.461)
Ag (0.000, 0.000, 0.000)
Ag (0.145, 0.516, 0.193)
Ag (0.855, 0.484, 0.807)
Ag (0.684, 0.093, 0.539)
Hg (0.359, 0.242, 0.039)
Hg (0.641, 0.758, 0.961)

***

(3)
Crystalline TaHg2Rh at its relaxed geometry, computed with PBE-GGA.

Summary:
E_tot = -4.2767 eV per atom
total magnetization = 0.0 μB/cell
energy above the most stable polymorph in this dataset = 64.5 kJ per mole of atoms
formation enthalpy at 0 K = 675.2 meV per atom
SG = No. 122

abc: 7.653 7.653 6.066
angles: 50.89 50.89 90.00
Fractional positions:
Ta (0.750, 0.250, 0.500)
Ta (0.000, 0.000, 0.000)
Hg (0.375, 0.384, 0.750)
Hg (0.875, 0.866, 0.750)
Hg (0.134, 0.625, 0.250)
Hg (0.616, 0.125, 0.250)
Rh (0.500, 0.500, 0.000)
Rh (0.250, 0.750, 0.500)

***

(4)
Crystalline Nb2CuSb2 at its relaxed geometry, computed with PBE-GGA.

Summary:
E_tot = -6.3579 eV per atom
total magnetization = 0.0 μB/cell
energy above the most stable polymorph in this dataset = 11.8 kJ per mole of atoms
E_form (uncorrected) = 138.2 meV per atom
SG = No. 127

abc: 7.462 7.462 3.614
angles: 90.00 90.00 90.00
Fractional positions:
Sb (0.156, 0.344, 0.000)
Sb (0.656, 0.156, 0.000)
Sb (0.844, 0.656, 0.000)
Sb (0.344, 0.844, 0.000)
Nb (0.640, 0.860, 0.500)
Nb (0.360, 0.140, 0.500)
Nb (0.140, 0.640, 0.500)
Nb (0.860, 0.360, 0.500)
Cu (0.500, 0.500, 0.000)
Cu (0.000, 0.000, 0.000)

***

(5)
Crystalline BaNaIn2Pb at its relaxed geometry, computed with PBE-GGA.

Summary:
E_tot = -2.2512 eV per atom
total magnetization = 0.0 μB/cell
energy above the most stable polymorph in this dataset = 52.7 kJ per mole of atoms
formation enthalpy at 0 K = 234.2 meV per atom
SG = No. 123

abc: 5.494 6.016 5.494
angles: 90.00 90.00 90.00
Fractional positions:
Na (0.000, 0.000, 0.000)
In (0.500, 0.000, 0.000)
In (0.000, 0.000, 0.500)
Pb (0.500, 0.500, 0.500)
Ba (0.000, 0.500, 0.000)

***

(6)
Crystalline Fe3Re at its relaxed geometry, computed with PBE-GGA.

Summary:
E_tot = -9.3883 eV per atom
total magnetization = 9.8 μB/cell
formation enthalpy at 0 K = 70.7 meV per atom
SG = No. 223

abc: 4.607 4.607 4.607
angles: 90.00 90.00 90.00
Fractional positions:
Fe (0.250, 0.500, 0.000)
Fe (0.750, 0.500, 0.000)
Fe (0.000, 0.750, 0.500)
Fe (0.500, 0.000, 0.750)
Fe (0.500, 0.000, 0.250)
Fe (0.000, 0.250, 0.500)
Re (0.500, 0.500, 0.500)
Re (0.000, 0.000, 0.000)

***

(7)
Crystalline LaNd4Bi5 at its relaxed geometry, computed with PBE-GGA.

Summary:
E_tot = -5.3114 eV per atom
total magnetization = 0.0 μB/cell
formation enthalpy at 0 K = -971.1 meV per atom
SG = No. 71

abc: 4.633 6.543 12.241
angles: 105.50 100.91 90.00
Fractional positions:
Bi (0.398, 0.898, 0.797)
Bi (0.200, 0.700, 0.400)
Bi (0.000, 0.500, 0.000)
Bi (0.800, 0.300, 0.600)
Bi (0.602, 0.102, 0.203)
Nd (0.799, 0.799, 0.598)
Nd (0.201, 0.201, 0.402)
Nd (0.600, 0.600, 0.201)
Nd (0.400, 0.400, 0.799)
La (0.000, 0.000, 0.000)

***

(8)
Crystalline NdU2WC4 at its relaxed geometry, computed with PBE-GGA.

Summary:
E_tot = -9.6354 eV per atom
total magnetization = 3.6 μB/cell
formation enthalpy at 0 K = 13.7 meV per atom
SG = No. 63

abc: 3.652 6.159 11.744
angles: 90.00 90.00 107.25
Fractional positions:
C (0.746, 0.493, 0.883)
C (0.562, 0.123, 0.250)
C (0.000, 0.000, 0.500)
C (0.254, 0.507, 0.117)
C (0.000, 0.000, 0.000)
C (0.438, 0.877, 0.750)
C (0.254, 0.507, 0.383)
C (0.746, 0.493, 0.617)
U (0.627, 0.254, 0.457)
U (0.627, 0.254, 0.043)
U (0.373, 0.746, 0.543)
U (0.373, 0.746, 0.957)
W (0.858, 0.716, 0.750)
W (0.142, 0.284, 0.250)
Nd (0.121, 0.242, 0.750)
Nd (0.879, 0.758, 0.250)

***

(9)
Crystalline CuAg5I8 at its relaxed geometry, computed with PBE-GGA.

Summary:
E_tot = -2.3437 eV per atom
total magnetization = 0.0 μB/cell
E_form (uncorrected) = -147.0 meV per atom
SG = No. 216

abc: 8.661 8.661 8.661
angles: 60.00 60.00 60.00
Fractional positions:
Ag (0.128, 0.624, 0.624)
Ag (0.624, 0.128, 0.624)
Ag (0.624, 0.624, 0.624)
Ag (0.000, 0.000, 0.000)
Ag (0.624, 0.624, 0.128)
I (0.375, 0.375, 0.875)
I (0.875, 0.375, 0.375)
I (0.868, 0.868, 0.395)
I (0.375, 0.875, 0.375)
I (0.395, 0.868, 0.868)
I (0.868, 0.868, 0.868)
I (0.375, 0.375, 0.375)
I (0.868, 0.395, 0.868)
Cu (0.250, 0.250, 0.250)

***

(10)
Crystalline CuBrCl2 at its relaxed geometry, computed with PBE-GGA.

Summary:
E_tot = -2.6029 eV per atom
total magnetization = 0.6 μB/cell
energy above the most stable polymorph in this dataset = 1.4 kJ per mole of atoms
E_form (uncorrected) = -237.3 meV per atom
SG = No. 71

abc: 6.615 6.615 6.615
angles: 153.37 109.85 76.50
Fractional positions:
Cl (0.095, 0.095, 0.000)
Cl (0.405, 0.405, 0.000)
Br (0.750, 0.250, 0.500)
Cu (0.250, 0.750, 0.500)

***

(11)
Crystalline NbO2F at its relaxed geometry, computed with PBE-GGA.

Summary:
E_tot = -8.0617 eV per atom
total magnetization = 0.0 μB/cell
E_form (uncorrected) = -2597.3 meV per atom
SG = No. 13

abc: 5.625 11.108 9.647
angles: 29.71 52.69 58.24
Fractional positions:
O (0.750, 0.568, 0.182)
O (0.250, 0.932, 0.818)
O (0.250, 0.432, 0.818)
O (0.690, 0.780, 0.250)
O (0.310, 0.220, 0.750)
O (0.750, 0.068, 0.182)
O (0.190, 0.220, 0.310)
O (0.810, 0.780, 0.690)
Nb (0.500, 0.000, 0.500)
Nb (0.000, 0.000, 0.000)
Nb (0.000, 0.500, 0.000)
Nb (0.500, 0.500, 0.500)
F (0.155, 0.705, 0.344)
F (0.845, 0.295, 0.656)
F (0.655, 0.295, 0.255)
F (0.345, 0.705, 0.745)

***

(12)
Crystalline TcP3S at its relaxed geometry, computed with PBE-GGA.

Summary:
E_tot = -5.5172 eV per atom
total magnetization = 0.0 μB/cell
energy above the most stable polymorph in this dataset = 0.0 kJ per mole of atoms
E_form (uncorrected) = 627.4 meV per atom
SG = No. 221

abc: 4.575 4.575 4.575
angles: 90.00 90.00 90.00
Fractional positions:
P (0.000, 0.000, 0.500)
P (0.500, 0.000, 0.000)
P (0.000, 0.500, 0.000)
Tc (0.000, 0.000, 0.000)
S (0.500, 0.500, 0.500)

***

(13)
Crystalline Ac2In3Hg6 at its relaxed geometry, computed with PBE-GGA.

Summary:
E_tot = -1.8816 eV per atom
total magnetization = 0.0 μB/cell
formation enthalpy at 0 K = -223.1 meV per atom
SG = No. 65

abc: 4.193 9.176 9.176
angles: 66.34 90.00 90.00
Fractional positions:
Hg (0.500, 0.974, 0.351)
Hg (0.500, 0.649, 0.026)
Hg (0.500, 0.614, 0.614)
Hg (0.500, 0.026, 0.649)
Hg (0.500, 0.351, 0.974)
Hg (0.500, 0.386, 0.386)
Ac (0.000, 0.715, 0.285)
Ac (0.000, 0.285, 0.715)
In (0.500, 0.000, 0.000)
In (0.000, 0.757, 0.757)
In (0.000, 0.243, 0.243)

***

(14)
Crystalline Ba2CaCd6 at its relaxed geometry, computed with PBE-GGA.

Summary:
E_tot = -1.5105 eV per atom
total magnetization = 0.0 μB/cell
formation enthalpy at 0 K = -250.7 meV per atom
SG = No. 164

abc: 6.863 6.938 6.938
angles: 120.00 90.00 90.00
Fractional positions:
Cd (0.850, 0.365, 0.183)
Cd (0.150, 0.635, 0.817)
Cd (0.150, 0.183, 0.365)
Cd (0.150, 0.183, 0.817)
Cd (0.850, 0.817, 0.183)
Cd (0.850, 0.817, 0.635)
Ca (0.500, 0.000, 0.000)
Ba (0.649, 0.333, 0.667)
Ba (0.351, 0.667, 0.333)

***

(15)
Crystalline CdGeNO2 at its relaxed geometry, computed with PBE-GGA.

Summary:
E_tot = -5.0100 eV per atom
total magnetization = 1.0 μB/cell
E_form (uncorrected) = -255.1 meV per atom
SG = No. 123

abc: 3.810 3.810 3.866
angles: 90.00 90.00 90.00
Fractional positions:
O (0.000, 0.500, 0.000)
O (0.500, 0.000, 0.000)
Cd (0.500, 0.500, 0.500)
Ge (0.000, 0.000, 0.000)
N (0.000, 0.000, 0.500)

***

(16)
Crystalline NaTi2I8 at its relaxed geometry, computed with PBE-GGA.

Summary:
E_tot = -3.4805 eV per atom
total magnetization = 1.0 μB/cell
E_form (uncorrected) = -797.7 meV per atom
SG = No. 12

abc: 7.381 9.087 9.087
angles: 76.21 85.60 85.60
Fractional positions:
I (0.235, 0.921, 0.298)
I (0.205, 0.368, 0.368)
I (0.235, 0.298, 0.921)
I (0.795, 0.632, 0.632)
I (0.302, 0.809, 0.809)
I (0.698, 0.191, 0.191)
I (0.765, 0.702, 0.079)
I (0.765, 0.079, 0.702)
Ti (0.345, 0.196, 0.196)
Ti (0.655, 0.804, 0.804)
Na (0.000, 0.000, 0.000)

***

(17)
Crystalline ReRu2Au at its relaxed geometry, computed with PBE-GGA.

Summary:
E_tot = -8.2918 eV per atom
total magnetization = 0.0 μB/cell
energy above the most stable polymorph in this dataset = 13.4 kJ per mole of atoms
formation enthalpy at 0 K = 277.5 meV per atom
SG = No. 12

abc: 4.776 4.776 4.864
angles: 80.47 80.47 33.67
Fractional positions:
Ru (0.991, 0.991, 0.025)
Ru (0.509, 0.509, 0.475)
Au (0.750, 0.750, 0.750)
Re (0.250, 0.250, 0.250)

***

(18)
Crystalline Cd3SiO4 at its relaxed geometry, computed with PBE-GGA.

Summary:
E_tot = -5.0006 eV per atom
total magnetization = 0.0 μB/cell
E_form (uncorrected) = -1500.5 meV per atom
SG = No. 31

abc: 5.480 6.056 7.233
angles: 90.00 90.00 90.00
Fractional positions:
O (0.697, 0.102, 0.000)
O (0.197, 0.898, 0.500)
O (0.111, 0.218, 0.185)
O (0.611, 0.782, 0.685)
O (0.080, 0.826, 0.000)
O (0.611, 0.782, 0.315)
O (0.580, 0.174, 0.500)
O (0.111, 0.218, 0.815)
Cd (0.008, 0.242, 0.500)
Cd (0.508, 0.758, 0.000)
Cd (0.504, 0.343, 0.211)
Cd (0.504, 0.343, 0.789)
Cd (0.004, 0.657, 0.711)
Cd (0.004, 0.657, 0.289)
Si (0.000, 0.096, 0.000)
Si (0.500, 0.904, 0.500)

***

(19)
Crystalline LaPuSe2 at its relaxed geometry, computed with PBE-GGA.

Summary:
E_tot = -8.3246 eV per atom
total magnetization = 5.9 μB/cell
energy above the most stable polymorph in this dataset = 0.0 kJ per mole of atoms
E_form (uncorrected) = -1767.5 meV per atom
SG = No. 166

abc: 4.216 4.216 7.377
angles: 73.39 73.39 60.00
Fractional positions:
La (0.000, 0.000, 0.000)
Pu (0.500, 0.500, 0.500)
Se (0.754, 0.754, 0.738)
Se (0.246, 0.246, 0.262)

***

(20)
Crystalline Y2Al2Ag at its relaxed geometry, computed with PBE-GGA.

Summary:
E_tot = -4.3340 eV per atom
total magnetization = 0.0 μB/cell
energy above the most stable polymorph in this dataset = 71.8 kJ per mole of atoms
formation enthalpy at 0 K = 318.9 meV per atom
SG = No. 139

abc: 7.209 7.209 7.209
angles: 143.41 143.41 52.70
Fractional positions:
Ag (0.000, 0.000, 0.000)
Y (0.250, 0.750, 0.500)
Y (0.750, 0.250, 0.500)
Al (0.594, 0.594, 0.000)
Al (0.406, 0.406, 0.000)